[1]
# NaTl2Pb, PBEsol geometry, DFT SCAN
# Energy of formation from the pure elements: -0.144 eV/atom
data_NaTl2Pb
_space_group_name_H-M_alt 'P 1'
_space_group_IT_number 1
_cell_length_a 5.394
_cell_length_b 5.394
_cell_length_c 5.394
_cell_angle_alpha 60.00
_cell_angle_beta 60.00
_cell_angle_gamma 60.00
loop_
_space_group_symop_operation_xyz
'x,y,z'
loop_
_atom_site_label
_atom_site_type_symbol
_atom_site_fract_x
_atom_site_fract_y
_atom_site_fract_z
Na1 Na 0.000 0.000 0.000
Tl1 Tl 0.250 0.250 0.250
Tl2 Tl 0.750 0.750 0.750
Pb1 Pb 0.500 0.500 0.500

---

[2]
# Na2TlPbW, PBEsol geometry, DFT SCAN
# Energy of formation from the pure elements: 1.087 eV/atom
data_Na2TlPbW
_space_group_name_H-M_alt 'P 1'
_space_group_IT_number 1
_cell_length_a 5.739
_cell_length_b 5.739
_cell_length_c 5.305
_cell_angle_alpha 90.00
_cell_angle_beta 90.00
_cell_angle_gamma 90.00
loop_
_space_group_symop_operation_xyz
'x,y,z'
loop_
_atom_site_label
_atom_site_type_symbol
_atom_site_fract_x
_atom_site_fract_y
_atom_site_fract_z
Na1 Na 0.000 0.500 0.000
Na2 Na 0.500 0.000 0.000
Tl1 Tl 0.000 0.000 0.500
Pb1 Pb 0.500 0.500 0.500
W1 W 0.500 0.500 0.000

---

[3]
# Na3PbW, PBEsol geometry, DFT SCAN
# Energy of formation from the pure elements: 1.481 eV/atom
data_Na3PbW
_space_group_name_H-M_alt 'P 1'
_space_group_IT_number 1
_cell_length_a 5.672
_cell_length_b 5.672
_cell_length_c 5.672
_cell_angle_alpha 90.00
_cell_angle_beta 90.00
_cell_angle_gamma 90.00
loop_
_space_group_symop_operation_xyz
'x,y,z'
loop_
_atom_site_label
_atom_site_type_symbol
_atom_site_fract_x
_atom_site_fract_y
_atom_site_fract_z
Na1 Na 0.000 0.000 0.500
Na2 Na 0.000 0.500 0.000
Na3 Na 0.500 0.000 0.000
Pb1 Pb 0.000 0.000 0.000
W1 W 0.500 0.500 0.500

---

[4]
# NaPbW3, PBEsol geometry, DFT SCAN
# Energy of formation from the pure elements: 3.188 eV/atom
data_NaPbW3
_space_group_name_H-M_alt 'P 1'
_space_group_IT_number 1
_cell_length_a 4.568
_cell_length_b 4.568
_cell_length_c 4.568
_cell_angle_alpha 90.00
_cell_angle_beta 90.00
_cell_angle_gamma 90.00
loop_
_space_group_symop_operation_xyz
'x,y,z'
loop_
_atom_site_label
_atom_site_type_symbol
_atom_site_fract_x
_atom_site_fract_y
_atom_site_fract_z
Na1 Na 0.000 0.000 0.000
Pb1 Pb 0.500 0.500 0.500
W1 W 0.000 0.000 0.500
W2 W 0.000 0.500 0.000
W3 W 0.500 0.000 0.000

---

[5]
# NaYPb, PBEsol geometry, DFT SCAN
# Energy of formation from the pure elements: -0.610 eV/atom
data_NaYPb
_space_group_name_H-M_alt 'P 1'
_space_group_IT_number 1
_cell_length_a 5.382
_cell_length_b 5.382
_cell_length_c 6.387
_cell_angle_alpha 90.00
_cell_angle_beta 90.00
_cell_angle_gamma 120.00
loop_
_space_group_symop_operation_xyz
'x,y,z'
loop_
_atom_site_label
_atom_site_type_symbol
_atom_site_fract_x
_atom_site_fract_y
_atom_site_fract_z
Na1 Na 0.000 0.000 0.000
Na2 Na 0.000 0.000 0.500
Y1 Y 0.333 0.667 0.250
Y2 Y 0.667 0.333 0.750
Pb1 Pb 0.333 0.667 0.750
Pb2 Pb 0.667 0.333 0.250

---

[6]
# Na2YPb2, PBEsol geometry, DFT SCAN
# Energy of formation from the pure elements: -0.368 eV/atom
data_Na2YPb2
_space_group_name_H-M_alt 'P 1'
_space_group_IT_number 1
_cell_length_a 8.057
_cell_length_b 8.057
_cell_length_c 8.057
_cell_angle_alpha 148.81
_cell_angle_beta 148.81
_cell_angle_gamma 44.69
loop_
_space_group_symop_operation_xyz
'x,y,z'
loop_
_atom_site_label
_atom_site_type_symbol
_atom_site_fract_x
_atom_site_fract_y
_atom_site_fract_z
Na1 Na 0.250 0.750 0.500
Na2 Na 0.750 0.250 0.500
Y1 Y 0.000 0.000 0.000
Pb1 Pb 0.403 0.403 0.000
Pb2 Pb 0.597 0.597 0.000

---

[7]
# Na2Zn2Pb, PBEsol geometry, DFT SCAN
# Energy of formation from the pure elements: -0.048 eV/atom
data_Na2Zn2Pb
_space_group_name_H-M_alt 'P 1'
_space_group_IT_number 1
_cell_length_a 10.437
_cell_length_b 10.437
_cell_length_c 10.437
_cell_angle_alpha 160.93
_cell_angle_beta 160.93
_cell_angle_gamma 27.10
loop_
_space_group_symop_operation_xyz
'x,y,z'
loop_
_atom_site_label
_atom_site_type_symbol
_atom_site_fract_x
_atom_site_fract_y
_atom_site_fract_z
Na1 Na 0.116 0.116 0.000
Na2 Na 0.884 0.884 0.000
Zn1 Zn 0.250 0.750 0.500
Zn2 Zn 0.750 0.250 0.500
Pb1 Pb 0.500 0.500 0.000

---

[8]
# NaZrPb3, PBEsol geometry, DFT SCAN
# Energy of formation from the pure elements: 0.728 eV/atom
data_NaZrPb3
_space_group_name_H-M_alt 'P 1'
_space_group_IT_number 1
_cell_length_a 5.233
_cell_length_b 5.233
_cell_length_c 5.233
_cell_angle_alpha 90.00
_cell_angle_beta 90.00
_cell_angle_gamma 90.00
loop_
_space_group_symop_operation_xyz
'x,y,z'
loop_
_atom_site_label
_atom_site_type_symbol
_atom_site_fract_x
_atom_site_fract_y
_atom_site_fract_z
Na1 Na 0.000 0.000 0.000
Zr1 Zr 0.500 0.500 0.500
Pb1 Pb 0.000 0.000 0.500
Pb2 Pb 0.000 0.500 0.000
Pb3 Pb 0.500 0.000 0.000

---

[9]
# NaPd, PBEsol geometry, DFT SCAN
# Energy of formation from the pure elements: -0.074 eV/atom
data_NaPd
_space_group_name_H-M_alt 'P 1'
_space_group_IT_number 1
_cell_length_a 2.860
_cell_length_b 5.176
_cell_length_c 5.366
_cell_angle_alpha 115.16
_cell_angle_beta 105.17
_cell_angle_gamma 90.24
loop_
_space_group_symop_operation_xyz
'x,y,z'
loop_
_atom_site_label
_atom_site_type_symbol
_atom_site_fract_x
_atom_site_fract_y
_atom_site_fract_z
Na1 Na 0.119 0.448 0.231
Na2 Na 0.881 0.552 0.769
Pd1 Pd 0.363 0.017 0.729
Pd2 Pd 0.637 0.983 0.271

---

[10]
# NaPdPt3, PBEsol geometry, DFT SCAN
# Energy of formation from the pure elements: 1.065 eV/atom
data_NaPdPt3
_space_group_name_H-M_alt 'P 1'
_space_group_IT_number 1
_cell_length_a 4.819
_cell_length_b 4.819
_cell_length_c 4.819
_cell_angle_alpha 90.00
_cell_angle_beta 90.00
_cell_angle_gamma 90.00
loop_
_space_group_symop_operation_xyz
'x,y,z'
loop_
_atom_site_label
_atom_site_type_symbol
_atom_site_fract_x
_atom_site_fract_y
_atom_site_fract_z
Na1 Na 0.000 0.000 0.000
Pd1 Pd 0.500 0.500 0.500
Pt1 Pt 0.000 0.500 0.500
Pt2 Pt 0.500 0.000 0.500
Pt3 Pt 0.500 0.500 0.000

---

[11]
# NaPdPt2Rh, PBEsol geometry, DFT SCAN
# Energy of formation from the pure elements: 1.707 eV/atom
data_NaPdPt2Rh
_space_group_name_H-M_alt 'P 1'
_space_group_IT_number 1
_cell_length_a 4.471
_cell_length_b 4.471
_cell_length_c 4.370
_cell_angle_alpha 90.00
_cell_angle_beta 90.00
_cell_angle_gamma 90.00
loop_
_space_group_symop_operation_xyz
'x,y,z'
loop_
_atom_site_label
_atom_site_type_symbol
_atom_site_fract_x
_atom_site_fract_y
_atom_site_fract_z
Na1 Na 0.000 0.000 0.000
Pd1 Pd 0.500 0.500 0.500
Pt1 Pt 0.000 0.500 0.000
Pt2 Pt 0.500 0.000 0.000
Rh1 Rh 0.000 0.000 0.500

---

[12]
# Rb3NaPd, PBEsol geometry, DFT SCAN
# Energy of formation from the pure elements: 0.642 eV/atom
data_Rb3NaPd
_space_group_name_H-M_alt 'P 1'
_space_group_IT_number 1
_cell_length_a 6.615
_cell_length_b 6.615
_cell_length_c 6.615
_cell_angle_alpha 90.00
_cell_angle_beta 90.00
_cell_angle_gamma 90.00
loop_
_space_group_symop_operation_xyz
'x,y,z'
loop_
_atom_site_label
_atom_site_type_symbol
_atom_site_fract_x
_atom_site_fract_y
_atom_site_fract_z
Rb1 Rb 0.000 0.000 0.500
Rb2 Rb 0.000 0.500 0.000
Rb3 Rb 0.500 0.000 0.000
Na1 Na 0.000 0.000 0.000
Pd1 Pd 0.500 0.500 0.500